1.
VASP calculation (GGA-PBE) on a relaxed La2Tb3Er9 crystal.

POSCAR file:
```
La2Tb3Er9
1.0
-4.778 0.800 -3.839
-12.501 1.932 4.039
-6.803 7.822 1.075
La Tb Er
2 3 9
Direct
0.567 0.293 0.680 La
0.433 0.707 0.319 La
0.001 0.000 0.999 Tb
0.644 0.273 0.343 Tb
0.356 0.726 0.657 Tb
0.000 0.500 0.500 Er
0.746 0.916 0.826 Er
0.254 0.084 0.174 Er
0.407 0.693 0.990 Er
0.593 0.307 0.010 Er
0.802 0.895 0.484 Er
0.198 0.105 0.516 Er
0.010 0.492 0.844 Er
0.990 0.508 0.156 Er
```

Its crystal system is triclinic. The energy of formation comes out at 167.2 kJ/mol of formula units. Its total energy is -63.08 eV for the cell shown.


2.
VASP calculation (GGA-PBE) on a relaxed La3Tb2Er crystal.

POSCAR file:
```
La3Tb2Er
1.0
-0.412 -3.265 1.125
5.684 -1.266 -1.593
0.478 4.964 9.202
La Tb Er
3 2 1
Direct
0.000 0.500 0.000 La
0.813 0.813 0.626 La
0.187 0.187 0.374 La
0.637 0.637 0.273 Tb
0.363 0.363 0.727 Tb
0.000 0.000 0.000 Er
```

Its crystal system is orthorhombic. The energy of formation comes out at 188.8 kJ/mol of formula units. Its total energy is -26.65 eV for the cell shown. As for the excess energy over the best structure of this formula in the dataset: 0.305 eV/atom.


3.
VASP calculation (GGA-PBE) on a relaxed La7Tb2Er crystal.

POSCAR file:
```
La7Tb2Er
1.0
-1.643 -3.670 4.084
8.995 -1.229 2.514
-5.651 6.593 3.652
La Tb Er
7 2 1
Direct
0.000 0.771 0.229 La
0.000 0.229 0.771 La
0.500 0.069 0.294 La
0.500 0.931 0.706 La
0.500 0.294 0.069 La
0.500 0.706 0.931 La
0.500 0.500 0.500 La
0.500 0.706 0.294 Tb
0.500 0.294 0.706 Tb
0.000 0.000 0.000 Er
```

Its crystal system is orthorhombic. The energy of formation comes out at 570.4 kJ/mol of formula units. Its total energy is -42.40 eV for the cell shown. As for the excess energy over the best structure of this formula in the dataset: 0.262 eV/atom.